[1]
Here is a relaxed structure of SiP2Au from Alexandria. Energies are from GGA-PBE.

a b c (Å): 6.603 6.603 6.603
angles (deg): 30.33 30.33 30.33
Positions (direct):
Si 0.000 0.000 0.000
P 0.483 0.483 0.483
P 0.744 0.744 0.744
Au 0.245 0.245 0.245

Total magnetic moment in μB/cell: 0.00
Uncorrected energy in eV for the cell shown: -19.1
Space-group type: R3m
ΔE_f (raw) in kJ/mol of atoms: 9.74


[2]
Here is a relaxed structure of SiP2Au from Alexandria. Energies are from GGA-PBE.

a b c (Å): 6.967 6.967 6.967
angles (deg): 153.94 152.95 37.91
Positions (direct):
Si 0.000 0.000 0.000
P 0.588 0.588 0.000
P 0.716 0.216 0.500
Au 0.350 0.850 0.500

Total magnetic moment in μB/cell: 0.00
Uncorrected energy in eV for the cell shown: -18.2
Space-group type: Imm2
ΔE_f (raw) in kJ/mol of atoms: 33.01


[3]
Here is a relaxed structure of Si2PAu2 from Alexandria. Energies are from GGA-PBE.

a b c (Å): 6.806 6.806 3.853
angles (deg): 90.00 90.00 90.00
Positions (direct):
Si 0.179 0.321 0.000
Si 0.321 0.821 0.000
Si 0.679 0.179 0.000
Si 0.821 0.679 0.000
P 0.000 0.000 0.000
P 0.500 0.500 0.000
Au 0.143 0.643 0.500
Au 0.357 0.143 0.500
Au 0.643 0.857 0.500
Au 0.857 0.357 0.500

Total magnetic moment in μB/cell: 0.00
Uncorrected energy in eV for the cell shown: -41.5
Space-group type: P4/mbm
ΔE_f (raw) in kJ/mol of atoms: 40.06